Computed, not measured: Pm2FeSiO6 after structural relaxation at the PBE with a Hubbard U level of DFT.

Geometry as extended XYZ:
```
10
Lattice="5.261 0.000 0.000 0.000 5.261 0.000 0.000 0.000 4.387" Properties=species:S:1:pos:R:3 pbc="T T T"
Pm 0.000 2.631 0.000
Pm 2.631 0.000 0.000
Fe 0.000 0.000 2.485
Si 2.631 2.631 2.450
O 0.000 0.000 0.423
O 1.434 1.434 2.887
O 1.434 3.827 2.887
O 2.631 2.631 0.777
O 3.827 1.434 2.887
O 3.827 3.827 2.887
```

For the electronic total energy, the calculation gives -7.678 eV/atom.